Computed, not measured: a relaxed structure of Si2Te6Au at the PBE-GGA level of DFT.

E_form (uncorrected) = 0.0784 eV/atom

abc: 8.9612 8.9612 6.9233
angles: 96.36 96.36 83.53
Positions (direct):
Si1 0.1186 0.2729 0.3182
Si2 0.2729 0.1186 0.8182
Si3 0.7271 0.8814 0.1818
Si4 0.8814 0.7271 0.6818
Te1 0.0198 0.2256 0.6389
Te2 0.1061 0.6200 0.9028
Te3 0.2256 0.0198 0.1389
Te4 0.3065 0.4743 0.3681
Te5 0.3800 0.8939 0.5972
Te6 0.4743 0.3065 0.8681
Te7 0.5257 0.6935 0.1319
Te8 0.6200 0.1061 0.4028
Te9 0.6935 0.5257 0.6319
Te10 0.7744 0.9802 0.8611
Te11 0.8939 0.3800 0.0972
Te12 0.9802 0.7744 0.3611
Au1 0.3849 0.6151 0.7500
Au2 0.6151 0.3849 0.2500



Computed, not measured: a relaxed structure of Sm2Cd3Sn2 at the PBE-GGA level of DFT.

E_form = -316 meV per atom

abc: 4.2565 21.3423 4.3115
angles: 90.00 90.00 90.00
Positions (direct):
Sm1 0.0000 0.1643 0.0000
Sm2 0.0000 0.8357 0.0000
Sm3 0.5000 0.3357 0.0000
Sm4 0.5000 0.6643 0.0000
Cd1 0.0000 0.0000 0.0000
Cd2 0.0000 0.4339 0.5000
Cd3 0.0000 0.5661 0.5000
Cd4 0.5000 0.0661 0.5000
Cd5 0.5000 0.5000 0.0000
Cd6 0.5000 0.9339 0.5000
Sn1 0.0000 0.2965 0.5000
Sn2 0.0000 0.7035 0.5000
Sn3 0.5000 0.2035 0.5000
Sn4 0.5000 0.7965 0.5000



Computed, not measured: a relaxed structure of TlCrIn2 at the PBE-GGA level of DFT.

E_form = 369 meV per atom

abc: 6.2451 8.9780 3.3923
angles: 90.00 90.71 90.00
Positions (direct):
Tl1 0.0000 0.0000 0.0000
Tl2 0.5000 0.5000 0.0000
Cr1 0.0000 0.5000 0.0000
Cr2 0.5000 0.0000 0.0000
In1 0.2500 0.2500 0.5000
In2 0.2500 0.7500 0.5000
In3 0.7500 0.2500 0.5000
In4 0.7500 0.7500 0.5000



Ρ: 6.193; 7.422; 8.487 (g cm⁻³)
Total moment: 0.0; 0.0; 8.1 (Bohr magnetons per cell)